A plane-wave DFT calculation with PBE was carried out for a relaxed structure of LaCl3.

Cell: 5.3345 5.3345 5.3345 Å, 128.67 128.67 75.54°
Last column: nearest neighbours and their distance in Å.
Fractional coordinates of all 4 atoms:
La: 0.0000 0.0000 0.0000  12 Cl 3.13-3.27
Cl: 0.2500 0.7500 0.5000  8 Cl 3.13-3.27, 4 La 3.13
Cl: 0.5000 0.5000 0.0000  8 Cl 3.13, 4 La 3.27
Cl: 0.7500 0.2500 0.5000  8 Cl 3.13-3.27, 4 La 3.13

Computed properties:
Raw formation energy ... -2.053 eV/atom
DFT total energy ... -4.67 eV/atom
DOS at the Fermi energy ... 0.00 states/eV per cell
V ... 22.507 A^3/atom